[1]
Below is Pm4Hg2Pb after structural relaxation, with properties calculated at the PBE level.

CIF file:
```
data_Pm4Hg2Pb
_cell_length_a 5.3473
_cell_length_b 5.3473
_cell_length_c 26.1561
_cell_angle_alpha 90.00
_cell_angle_beta 90.00
_cell_angle_gamma 120.00
_space_group_name_H-M_alt 'R -3 m'
_space_group_IT_number 166
_space_group_name_Hall '-R 3 2"'
loop_
_atom_site_label
_atom_site_type_symbol
_atom_site_fract_x
_atom_site_fract_y
_atom_site_fract_z
Pm1 Pm 0.0000 0.0000 0.1176
Pm2 Pm 0.0000 0.0000 0.3705
Hg1 Hg 0.0000 0.0000 0.2511
Pb1 Pb 0.0000 0.0000 0.5000
```

* E above lowest polymorph: 0 meV per atom
* total energy: -76.535 eV for the cell shown
* formation energy: -0.314 eV/atom
* crystal system: trigonal
* mass density: 9.1 g/cm³

---

[2]
Below is TbZrSb2 after structural relaxation, with properties calculated at the PBE level.

CIF file:
```
data_TbZrSb2
_cell_length_a 4.2354
_cell_length_b 4.2354
_cell_length_c 21.1168
_cell_angle_alpha 90.00
_cell_angle_beta 90.00
_cell_angle_gamma 120.00
_space_group_name_H-M_alt 'R -3 m'
_space_group_IT_number 166
_space_group_name_Hall '-R 3 2"'
loop_
_atom_site_label
_atom_site_type_symbol
_atom_site_fract_x
_atom_site_fract_y
_atom_site_fract_z
Tb1 Tb 0.0000 0.0000 0.0000
Zr1 Zr 0.0000 0.0000 0.5000
Sb1 Sb 0.0000 0.0000 0.2452
```

* E above lowest polymorph: 0 meV per atom
* total energy: -74.553 eV for the cell shown
* formation energy from raw total energies: -857 meV per atom
* crystal system: trigonal
* mass density: 7.5 g/cm³

---

[3]
Below is LiAc2Mg after structural relaxation, with properties calculated at the PBE level.

CIF file:
```
data_LiAc2Mg
_cell_length_a 8.2048
_cell_length_b 8.2048
_cell_length_c 8.2048
_cell_angle_alpha 90.00
_cell_angle_beta 90.00
_cell_angle_gamma 90.00
_space_group_name_H-M_alt 'F m -3 m'
_space_group_IT_number 225
_space_group_name_Hall '-F 4 2 3'
loop_
_atom_site_label
_atom_site_type_symbol
_atom_site_fract_x
_atom_site_fract_y
_atom_site_fract_z
Li1 Li 0.0000 0.0000 0.0000
Ac1 Ac 0.2500 0.2500 0.2500
Mg1 Mg 0.0000 0.0000 0.5000
```

* E above lowest polymorph: 11 meV per atom
* total energy: -46.879 eV for the cell shown
* formation energy: 0.001 eV/atom
* crystal system: cubic
* mass density: 5.8 g/cm³

---

[4]
Below is PrNpRu3 after structural relaxation, with properties calculated at the PBE level.

CIF file:
```
data_PrNpRu3
_cell_length_a 5.5870
_cell_length_b 9.0735
_cell_length_c 8.3689
_cell_angle_alpha 90.00
_cell_angle_beta 90.00
_cell_angle_gamma 90.00
_space_group_name_H-M_alt 'I m m a'
_space_group_IT_number 74
_space_group_name_Hall '-I 2b 2'
loop_
_atom_site_label
_atom_site_type_symbol
_atom_site_fract_x
_atom_site_fract_y
_atom_site_fract_z
Pr1 Pr 0.0000 0.2500 0.0496
Np1 Np 0.0000 0.0000 0.5000
Ru1 Ru 0.0000 0.2500 0.6875
Ru2 Ru 0.2500 0.0057 0.7500
```

* total energy: -180.514 eV for the cell shown
* formation energy: 0.084 eV/atom
* crystal system: orthorhombic
* mass density: 10.7 g/cm³

---

[5]
Below is TmNp3Sb4 after structural relaxation, with properties calculated at the PBE level.

CIF file:
```
data_TmNp3Sb4
_cell_length_a 8.8135
_cell_length_b 12.3749
_cell_length_c 4.3537
_cell_angle_alpha 90.00
_cell_angle_beta 90.00
_cell_angle_gamma 90.00
_space_group_name_H-M_alt 'C m m m'
_space_group_IT_number 65
_space_group_name_Hall '-C 2 2'
loop_
_atom_site_label
_atom_site_type_symbol
_atom_site_fract_x
_atom_site_fract_y
_atom_site_fract_z
Tm1 Tm 0.0000 0.0000 0.0000
Np1 Np 0.0000 0.5000 0.0000
Np2 Np 0.2500 0.2500 0.5000
Sb1 Sb 0.0000 0.2484 0.0000
Sb2 Sb 0.2464 0.0000 0.5000
```

* total energy: -125.700 eV for the cell shown
* formation energy from raw total energies: -383 meV per atom
* crystal system: orthorhombic
* mass density: 9.6 g/cm³

---

[6]
Below is Zr2FeSiN after structural relaxation, with properties calculated at the PBE level.

CIF file:
```
data_Zr2FeSiN
_cell_length_a 3.5464
_cell_length_b 3.5464
_cell_length_c 11.3810
_cell_angle_alpha 90.00
_cell_angle_beta 90.00
_cell_angle_gamma 90.00
_space_group_name_H-M_alt 'P 4/n m m'
_space_group_IT_number 129
loop_
_space_group_symop_operation_xyz
'x,y,z'
'-x,-y,-z'
'-y+1/2,x,z'
'y+1/2,-x,-z'
'-x+1/2,-y+1/2,z'
'x+1/2,y+1/2,-z'
'y,-x+1/2,z'
'-y,x+1/2,-z'
'x+1/2,-y,-z'
'-x+1/2,y,z'
'-y,-x,-z'
'y,x,z'
'-x,y+1/2,-z'
'x,-y+1/2,z'
'y+1/2,x+1/2,-z'
'-y+1/2,-x+1/2,z'
loop_
_atom_site_label
_atom_site_type_symbol
_atom_site_fract_x
_atom_site_fract_y
_atom_site_fract_z
Zr1 Zr 0.2500 0.2500 0.0971
Zr2 Zr 0.2500 0.2500 0.7140
Fe1 Fe 0.2500 0.7500 0.5000
Si1 Si 0.2500 0.2500 0.3601
N1 N 0.2500 0.2500 0.9061
```

* total energy: -88.646 eV for the cell shown
* formation energy from raw total energies: -1003 meV per atom
* crystal system: tetragonal
* mass density: 6.5 g/cm³

---

[7]
Below is K2AsPb2 after structural relaxation, with properties calculated at the PBE level.

CIF file:
```
data_K2AsPb2
_cell_length_a 4.7193
_cell_length_b 4.7193
_cell_length_c 16.0573
_cell_angle_alpha 90.00
_cell_angle_beta 90.00
_cell_angle_gamma 90.00
_space_group_name_H-M_alt 'I 4/m m m'
_space_group_IT_number 139
_space_group_name_Hall '-I 4 2'
loop_
_atom_site_label
_atom_site_type_symbol
_atom_site_fract_x
_atom_site_fract_y
_atom_site_fract_z
K1 K 0.0000 0.5000 0.2500
As1 As 0.0000 0.0000 0.0000
Pb1 Pb 0.0000 0.0000 0.4137
```

* E above lowest polymorph: 434 meV per atom
* total energy: -25.198 eV for the cell shown
* formation energy: 0.332 eV/atom
* crystal system: tetragonal
* mass density: 5.3 g/cm³

---

[8]
Below is VFeAs after structural relaxation, with properties calculated at the PBE level.

CIF file:
```
data_VFeAs
_cell_length_a 3.9943
_cell_length_b 3.9943
_cell_length_c 2.7595
_cell_angle_alpha 90.00
_cell_angle_beta 90.00
_cell_angle_gamma 120.00
_space_group_name_H-M_alt 'P -6 m 2'
_space_group_IT_number 187
_space_group_name_Hall 'P -6 2'
loop_
_atom_site_label
_atom_site_type_symbol
_atom_site_fract_x
_atom_site_fract_y
_atom_site_fract_z
V1 V 0.0000 0.0000 0.0000
Fe1 Fe 0.6667 0.3333 0.5000
As1 As 0.3333 0.6667 0.5000
```

* total energy: -22.897 eV for the cell shown
* formation energy: -0.222 eV/atom
* crystal system: hexagonal
* mass density: 7.9 g/cm³

---

[9]
Below is Pa2CoOs3 after structural relaxation, with properties calculated at the PBE level.

CIF file:
```
data_Pa2CoOs3
_cell_length_a 5.3839
_cell_length_b 5.3839
_cell_length_c 8.3018
_cell_angle_alpha 90.00
_cell_angle_beta 90.00
_cell_angle_gamma 120.00
_space_group_name_H-M_alt 'P 63/m m c'
_space_group_IT_number 194
_space_group_name_Hall '-P 6c 2c'
loop_
_atom_site_label
_atom_site_type_symbol
_atom_site_fract_x
_atom_site_fract_y
_atom_site_fract_z
Pa1 Pa 0.3333 0.6667 0.0783
Co1 Co 0.0000 0.0000 0.0000
Os1 Os 0.1686 0.3371 0.7500
```

* total energy: -122.940 eV for the cell shown
* formation energy: -0.281 eV/atom
* crystal system: hexagonal
* mass density: 17.4 g/cm³

---

[10]
Below is ZrReN2O after structural relaxation, with properties calculated at the PBE level.

CIF file:
```
data_ZrReN2O
_cell_length_a 4.2816
_cell_length_b 4.2816
_cell_length_c 3.9795
_cell_angle_alpha 90.00
_cell_angle_beta 90.00
_cell_angle_gamma 90.00
_space_group_name_H-M_alt 'P 4/m m m'
_space_group_IT_number 123
_space_group_name_Hall '-P 4 2'
loop_
_atom_site_label
_atom_site_type_symbol
_atom_site_fract_x
_atom_site_fract_y
_atom_site_fract_z
Zr1 Zr 0.0000 0.0000 0.0000
Re1 Re 0.5000 0.5000 0.5000
N1 N 0.0000 0.5000 0.0000
O1 O 0.0000 0.0000 0.5000
```

* total energy: -39.289 eV for the cell shown
* formation energy from raw total energies: 663 meV per atom
* crystal system: tetragonal
* mass density: 7.3 g/cm³

---

[11]
Below is Ta2CuHW after structural relaxation, with properties calculated at the PBE level.

CIF file:
```
data_Ta2CuHW
_cell_length_a 4.2210
_cell_length_b 4.2210
_cell_length_c 3.7888
_cell_angle_alpha 90.00
_cell_angle_beta 90.00
_cell_angle_gamma 90.00
_space_group_name_H-M_alt 'P 4/m m m'
_space_group_IT_number 123
_space_group_name_Hall '-P 4 2'
loop_
_atom_site_label
_atom_site_type_symbol
_atom_site_fract_x
_atom_site_fract_y
_atom_site_fract_z
Ta1 Ta 0.0000 0.5000 0.0000
Cu1 Cu 0.0000 0.0000 0.5000
H1 H 0.5000 0.5000 0.0000
W1 W 0.5000 0.5000 0.5000
```

* E above lowest polymorph: 78 meV per atom
* total energy: -43.464 eV for the cell shown
* crystal system: tetragonal
* mass density: 15.0 g/cm³

---

[12]
Below is AcPmPr2 after structural relaxation, with properties calculated at the PBE level.

CIF file:
```
data_AcPmPr2
_cell_length_a 5.3092
_cell_length_b 5.3092
_cell_length_c 5.3312
_cell_angle_alpha 90.00
_cell_angle_beta 90.00
_cell_angle_gamma 90.00
_space_group_name_H-M_alt 'P 4/m m m'
_space_group_IT_number 123
_space_group_name_Hall '-P 4 2'
loop_
_atom_site_label
_atom_site_type_symbol
_atom_site_fract_x
_atom_site_fract_y
_atom_site_fract_z
Ac1 Ac 0.0000 0.0000 0.0000
Pm1 Pm 0.5000 0.5000 0.0000
Pr1 Pr 0.0000 0.5000 0.5000
```

* E above lowest polymorph: 0 meV per atom
* total energy: -18.337 eV for the cell shown
* formation energy: 0.020 eV/atom
* crystal system: tetragonal
* mass density: 7.2 g/cm³

---

[13]
Below is Re2Ag after structural relaxation, with properties calculated at the PBE level.

CIF file:
```
data_Re2Ag
_cell_length_a 2.6773
_cell_length_b 4.5176
_cell_length_c 17.1859
_cell_angle_alpha 90.00
_cell_angle_beta 90.00
_cell_angle_gamma 90.00
_space_group_name_H-M_alt 'I m m a'
_space_group_IT_number 74
_space_group_name_Hall '-I 2b 2'
loop_
_atom_site_label
_atom_site_type_symbol
_atom_site_fract_x
_atom_site_fract_y
_atom_site_fract_z
Re1 Re 0.0000 0.2500 0.0378
Re2 Re 0.0000 0.2500 0.1858
Ag1 Ag 0.0000 0.2500 0.6259
```

* E above lowest polymorph: 604 meV per atom
* total energy: -100.033 eV for the cell shown
* formation energy: 0.913 eV/atom
* crystal system: orthorhombic
* mass density: 15.3 g/cm³

---

[14]
Below is Hf3ZrCo2 after structural relaxation, with properties calculated at the PBE level.

CIF file:
```
data_Hf3ZrCo2
_cell_length_a 4.4110
_cell_length_b 7.8260
_cell_length_c 6.3677
_cell_angle_alpha 90.00
_cell_angle_beta 90.00
_cell_angle_gamma 90.00
_space_group_name_H-M_alt 'P m c 21'
_space_group_IT_number 26
_space_group_name_Hall 'P 2c -2'
loop_
_atom_site_label
_atom_site_type_symbol
_atom_site_fract_x
_atom_site_fract_y
_atom_site_fract_z
Hf1 Hf 0.0000 0.0766 0.0000
Hf2 Hf 0.0000 0.3345 0.3663
Hf3 Hf 0.5000 0.1638 0.6609
Zr1 Zr 0.5000 0.4202 0.0262
Co1 Co 0.0000 0.3340 0.7661
Co2 Co 0.5000 0.1612 0.2606
```

* E above lowest polymorph: 0 meV per atom
* total energy: -108.900 eV for the cell shown
* formation energy: -0.305 eV/atom
* crystal system: orthorhombic
* mass density: 11.2 g/cm³

---

[15]
Below is Pr8ZnSi3Cl4 after structural relaxation, with properties calculated at the PBE level.

CIF file:
```
data_Pr8ZnSi3Cl4
_cell_length_a 8.5302
_cell_length_b 8.5302
_cell_length_c 20.9662
_cell_angle_alpha 90.00
_cell_angle_beta 90.00
_cell_angle_gamma 120.00
_space_group_name_H-M_alt 'R -3 m'
_space_group_IT_number 166
_space_group_name_Hall '-R 3 2"'
loop_
_atom_site_label
_atom_site_type_symbol
_atom_site_fract_x
_atom_site_fract_y
_atom_site_fract_z
Pr1 Pr 0.0000 0.0000 0.2425
Pr2 Pr 0.0065 0.5033 0.7552
Zn1 Zn 0.0000 0.0000 0.5000
Si1 Si 0.0000 0.5000 0.5000
Cl1 Cl 0.0000 0.0000 0.0000
Cl2 Cl 0.0000 0.5000 0.0000
```

* total energy: -241.587 eV for the cell shown
* formation energy from raw total energies: -1085 meV per atom
* crystal system: trigonal
* mass density: 5.3 g/cm³

---

[16]
Below is ScTiCuAs2 after structural relaxation, with properties calculated at the PBE level.

CIF file:
```
data_ScTiCuAs2
_cell_length_a 4.7214
_cell_length_b 4.7214
_cell_length_c 4.6613
_cell_angle_alpha 90.00
_cell_angle_beta 90.00
_cell_angle_gamma 90.00
_space_group_name_H-M_alt 'P 4/m m m'
_space_group_IT_number 123
_space_group_name_Hall '-P 4 2'
loop_
_atom_site_label
_atom_site_type_symbol
_atom_site_fract_x
_atom_site_fract_y
_atom_site_fract_z
Sc1 Sc 0.0000 0.0000 0.0000
Ti1 Ti 0.5000 0.5000 0.0000
Cu1 Cu 0.0000 0.0000 0.5000
As1 As 0.0000 0.5000 0.5000
```

* total energy: -25.627 eV for the cell shown
* formation energy: 0.399 eV/atom
* crystal system: tetragonal
* mass density: 4.9 g/cm³

---

[17]
Below is AcMg2CoH8 after structural relaxation, with properties calculated at the PBE level.

CIF file:
```
data_AcMg2CoH8
_cell_length_a 4.4145
_cell_length_b 4.4145
_cell_length_c 6.7165
_cell_angle_alpha 90.00
_cell_angle_beta 90.00
_cell_angle_gamma 120.00
_space_group_name_H-M_alt 'P -3 m 1'
_space_group_IT_number 164
_space_group_name_Hall '-P 3 2"'
loop_
_atom_site_label
_atom_site_type_symbol
_atom_site_fract_x
_atom_site_fract_y
_atom_site_fract_z
Ac1 Ac 0.0000 0.0000 0.0000
Mg1 Mg 0.3333 0.6667 0.3788
Co1 Co 0.0000 0.0000 0.5000
H1 H 0.1619 0.3238 0.6504
H2 H 0.3333 0.6667 0.0862
```

* total energy: -45.356 eV for the cell shown
* crystal system: trigonal
* mass density: 5.0 g/cm³

---

[18]
Below is Ni2AgRh after structural relaxation, with properties calculated at the PBE level.

CIF file:
```
data_Ni2AgRh
_cell_length_a 2.7128
_cell_length_b 2.7128
_cell_length_c 7.3962
_cell_angle_alpha 90.00
_cell_angle_beta 90.00
_cell_angle_gamma 90.00
_space_group_name_H-M_alt 'P 4/m m m'
_space_group_IT_number 123
_space_group_name_Hall '-P 4 2'
loop_
_atom_site_label
_atom_site_type_symbol
_atom_site_fract_x
_atom_site_fract_y
_atom_site_fract_z
Ni1 Ni 0.0000 0.0000 0.2331
Ag1 Ag 0.5000 0.5000 0.5000
Rh1 Rh 0.5000 0.5000 0.0000
```

* total energy: -21.165 eV for the cell shown
* formation energy: 0.150 eV/atom
* crystal system: tetragonal
* mass density: 10.0 g/cm³

---

[19]
Below is Na3Mg2Sn4 after structural relaxation, with properties calculated at the PBE level.

CIF file:
```
data_Na3Mg2Sn4
_cell_length_a 5.1396
_cell_length_b 5.1954
_cell_length_c 9.8838
_cell_angle_alpha 89.99
_cell_angle_beta 89.42
_cell_angle_gamma 60.47
_space_group_name_H-M_alt 'P -1'
_space_group_IT_number 2
_space_group_name_Hall '-P 1'
loop_
_atom_site_label
_atom_site_type_symbol
_atom_site_fract_x
_atom_site_fract_y
_atom_site_fract_z
Na1 Na 0.0000 0.0000 0.0000
Na2 Na 0.3323 0.3333 0.5629
Mg1 Mg 0.3338 0.3333 0.2215
Sn1 Sn 0.0020 0.0017 0.3410
Sn2 Sn 0.3340 0.3343 0.9001
```

* E above lowest polymorph: 13 meV per atom
* total energy: -24.332 eV for the cell shown
* formation energy: -0.131 eV/atom
* crystal system: triclinic
* mass density: 4.3 g/cm³

---

[20]
Below is CdPbI2O8 after structural relaxation, with properties calculated at the PBE level.

CIF file:
```
data_CdPbI2O8
_cell_length_a 5.4441
_cell_length_b 5.4441
_cell_length_c 22.5901
_cell_angle_alpha 90.00
_cell_angle_beta 90.00
_cell_angle_gamma 120.00
_space_group_name_H-M_alt 'R 3 2'
_space_group_IT_number 155
_space_group_name_Hall 'R 3 2"'
loop_
_atom_site_label
_atom_site_type_symbol
_atom_site_fract_x
_atom_site_fract_y
_atom_site_fract_z
Cd1 Cd 0.0000 0.0000 0.0000
Pb1 Pb 0.0000 0.0000 0.5000
I1 I 0.0000 0.0000 0.2587
O1 O 0.0000 0.0000 0.1786
O2 O 0.0092 0.3535 0.2664
```

* total energy: -154.435 eV for the cell shown
* formation energy from raw total energies: -341 meV per atom
* crystal system: trigonal
* mass density: 6.0 g/cm³